Record 1
## MgAu (meta-GGA SCAN)

Data for a PBEsol-optimized structure of MgAu.

a b c (Å): 4.594 4.594 5.338
angles (deg): 90.00 90.00 120.00
Fractional coordinates of all 4 atoms:
1 Mg 0.667 0.333 0.750
2 Mg 0.333 0.667 0.250
3 Au 0.667 0.333 0.250
4 Au 0.333 0.667 0.750

Computed properties:
The calculated formation energy is -341 meV per atom. For the total energy, the calculation gives -37.41 eV/atom. Its space group is P6_3/mmc, No. 194.

=====

Record 2
## KSiTe2 (meta-GGA SCAN)

Data for a PBEsol-optimized structure of KSiTe2.

a b c (Å): 3.999 3.999 6.933
angles (deg): 90.00 90.00 90.00
Fractional coordinates of all 4 atoms:
1 Te 0.000 0.000 0.283
2 Te 0.000 0.000 0.717
3 Si 0.500 0.500 0.500
4 K 0.500 0.500 0.000

Computed properties:
For the total energy, the calculation gives -23.17 eV/atom. For the formation energy without anion corrections, the calculation gives 0.040 eV/atom. Its space group is P4/mmm, No. 123.

=====

Record 3
## TcOsSeBr2 (meta-GGA SCAN)

Data for a PBEsol-optimized structure of TcOsSeBr2.

a b c (Å): 4.665 5.078 5.078
angles (deg): 90.00 90.00 90.00
Fractional coordinates of all 5 atoms:
1 Br 0.000 0.000 0.500
2 Br 0.000 0.500 0.000
3 Os 0.000 0.000 0.000
4 Tc 0.500 0.500 0.500
5 Se 0.500 0.000 0.000

Computed properties:
For the total energy, the calculation gives -32.09 eV/atom. For the formation energy without anion corrections, the calculation gives 1.102 eV/atom. Its space group is P4/mmm, No. 123.

=====

Record 4
## In2Te9RuCl8 (meta-GGA SCAN)

Data for a PBEsol-optimized structure of In2Te9RuCl8.

a b c (Å): 10.108 11.913 11.913
angles (deg): 120.43 90.42 89.58
Fractional coordinates of all 40 atoms:
1 Te 0.750 0.304 0.304
2 Te 0.370 0.219 0.149
3 Te 0.870 0.851 0.781
4 Te 0.875 0.220 0.070
5 Te 0.630 0.781 0.851
6 Te 0.375 0.930 0.780
7 Te 0.873 0.941 0.157
8 Te 0.127 0.059 0.843
9 Te 0.241 0.301 0.998
10 Te 0.373 0.843 0.059
11 Te 0.627 0.157 0.941
12 Te 0.741 0.002 0.699
13 Te 0.625 0.070 0.220
14 Te 0.250 0.696 0.696
15 Te 0.259 0.998 0.301
16 Te 0.125 0.780 0.930
17 Te 0.759 0.699 0.002
18 Te 0.130 0.149 0.219
19 Cl 0.452 0.345 0.491
20 Cl 0.210 0.845 0.483
21 Cl 0.959 0.335 0.867
22 Cl 0.710 0.517 0.155
23 Cl 0.952 0.509 0.655
24 Cl 0.290 0.483 0.845
25 Cl 0.459 0.133 0.665
26 Cl 0.548 0.655 0.509
27 Cl 0.041 0.665 0.133
28 Cl 0.657 0.438 0.794
29 Cl 0.843 0.794 0.438
30 Cl 0.541 0.867 0.335
31 Cl 0.048 0.491 0.345
32 Cl 0.343 0.562 0.206
33 Cl 0.157 0.206 0.562
34 Cl 0.790 0.155 0.517
35 Ru 0.500 0.000 0.000
36 Ru 0.000 0.000 0.000
37 In 0.448 0.344 0.689
38 In 0.052 0.689 0.344
39 In 0.552 0.656 0.311
40 In 0.948 0.311 0.656

Computed properties:
For the total energy, the calculation gives -25.67 eV/atom. For the formation energy without anion corrections, the calculation gives -0.641 eV/atom. Its space group is C2/c, No. 15.

=====

Record 5
## Ti3ZnN (meta-GGA SCAN)

Data for a PBEsol-optimized structure of Ti3ZnN.

a b c (Å): 4.550 4.550 4.550
angles (deg): 90.00 90.00 90.00
Fractional coordinates of all 5 atoms:
1 Zn 0.000 0.000 0.000
2 Ti 0.000 0.000 0.500
3 Ti 0.500 0.000 0.000
4 Ti 0.000 0.500 0.000
5 N 0.500 0.500 0.500

Computed properties:
For the total energy, the calculation gives -12.64 eV/atom. For the formation energy without anion corrections, the calculation gives 1.535 eV/atom. Its space group is Pm-3m, No. 221.

=====

Record 6
## KRb2BeRe (meta-GGA SCAN)

Data for a PBEsol-optimized structure of KRb2BeRe.

a b c (Å): 6.241 6.413 6.413
angles (deg): 90.00 90.00 90.00
Fractional coordinates of all 5 atoms:
1 Rb 0.000 0.000 0.500
2 Rb 0.000 0.500 0.000
3 Be 0.500 0.500 0.500
4 Re 0.000 0.000 0.000
5 K 0.500 0.000 0.000

Computed properties:
The calculated formation energy is 1922 meV per atom. For the total energy, the calculation gives -23.13 eV/atom. Its space group is P4/mmm, No. 123.

=====

Record 7
## AlRh (meta-GGA SCAN)

Data for a PBEsol-optimized structure of AlRh.

a b c (Å): 3.834 5.339 6.128
angles (deg): 115.83 90.00 90.00
Fractional coordinates of all 8 atoms:
1 Al 0.000 0.742 0.000
2 Al 0.500 0.153 0.306
3 Al 0.000 0.258 0.000
4 Al 0.500 0.847 0.694
5 Rh 0.500 0.619 0.237
6 Rh 0.000 0.000 0.500
7 Rh 0.500 0.381 0.763
8 Rh 0.000 0.500 0.500

Computed properties:
The calculated formation energy is -698 meV per atom. For the total energy, the calculation gives -21.46 eV/atom. Its space group is Cmmm, No. 65.

=====

Record 8
## PSe2BrF (meta-GGA SCAN)

Data for a PBEsol-optimized structure of PSe2BrF.

a b c (Å): 4.243 4.243 5.621
angles (deg): 90.00 90.00 90.00
Fractional coordinates of all 5 atoms:
1 Se 0.500 0.000 0.000
2 Se 0.000 0.500 0.000
3 P 0.500 0.500 0.500
4 Br 0.000 0.000 0.500
5 F 0.000 0.000 0.000

Computed properties:
For the total energy, the calculation gives -13.97 eV/atom. For the formation energy without anion corrections, the calculation gives 0.745 eV/atom. Its space group is P4/mmm, No. 123.

=====

Record 9
## Tl2TcSe (meta-GGA SCAN)

Data for a PBEsol-optimized structure of Tl2TcSe.

a b c (Å): 4.122 4.122 5.885
angles (deg): 110.50 110.50 90.00
Fractional coordinates of all 4 atoms:
1 Tc 0.000 0.000 0.000
2 Tl 0.250 0.750 0.500
3 Tl 0.750 0.250 0.500
4 Se 0.500 0.500 0.000

Computed properties:
For the total energy, the calculation gives -49.32 eV/atom. For the formation energy without anion corrections, the calculation gives 0.639 eV/atom. Its space group is I4/mmm, No. 139.

=====

Record 10
## Na2VPCO7 (meta-GGA SCAN)

Data for a PBEsol-optimized structure of Na2VPCO7.

a b c (Å): 5.184 6.449 8.969
angles (deg): 90.00 91.50 90.00
Fractional coordinates of all 24 atoms:
1 V 0.289 0.750 0.651
2 V 0.711 0.250 0.349
3 Na 0.260 0.993 0.231
4 Na 0.740 0.007 0.769
5 Na 0.260 0.507 0.231
6 Na 0.740 0.493 0.769
7 O 0.452 0.750 0.859
8 O 0.293 0.444 0.665
9 O 0.293 0.056 0.665
10 O 0.188 0.750 0.057
11 O 0.965 0.250 0.182
12 O 0.914 0.250 0.548
13 O 0.812 0.250 0.943
14 O 0.707 0.944 0.335
15 O 0.707 0.556 0.335
16 O 0.349 0.250 0.423
17 O 0.651 0.750 0.577
18 O 0.548 0.250 0.141
19 O 0.086 0.750 0.452
20 O 0.035 0.750 0.818
21 P 0.212 0.250 0.574
22 P 0.788 0.750 0.426
23 C 0.224 0.750 0.920
24 C 0.776 0.250 0.080

Computed properties:
For the total energy, the calculation gives -9.78 eV/atom. For the formation energy without anion corrections, the calculation gives -2.282 eV/atom. Its space group is P2_1/m, No. 11.

=====

Record 11
## Li2ClF (meta-GGA SCAN)

Data for a PBEsol-optimized structure of Li2ClF.

a b c (Å): 4.925 4.925 5.855
angles (deg): 114.87 114.87 90.00
Fractional coordinates of all 8 atoms:
1 Cl 0.250 0.750 0.500
2 Cl 0.000 0.000 0.000
3 F 0.500 0.500 0.000
4 F 0.750 0.250 0.500
5 Li 0.625 0.544 0.750
6 Li 0.456 0.875 0.250
7 Li 0.794 0.375 0.250
8 Li 0.125 0.206 0.750

Computed properties:
For the total energy, the calculation gives -6.60 eV/atom. For the formation energy without anion corrections, the calculation gives -2.526 eV/atom. Its space group is I-42d, No. 122.

=====

Record 12
## FeRe3 (meta-GGA SCAN)

Data for a PBEsol-optimized structure of FeRe3.

a b c (Å): 2.715 2.715 8.525
angles (deg): 90.00 90.00 120.00
Fractional coordinates of all 4 atoms:
1 Fe 0.000 0.000 0.000
2 Re 0.667 0.333 0.237
3 Re 0.000 0.000 0.500
4 Re 0.667 0.333 0.763

Computed properties:
The calculated formation energy is 176 meV per atom. For the total energy, the calculation gives -57.68 eV/atom. Its space group is P-6m2, No. 187.